1.
{
  "formula": "Cs2PdF5",
  "functional": "GGA-PBE",
  "state": "relaxed",
  "lattice_angstrom": [[6.509, 0.000, 0.000], [0.000, 6.509, 0.000], [0.000, 0.000, 4.367]],
  "species": ["Cs", "Cs", "Pd", "F", "F", "F", "F", "F"],
  "fractional_positions": [[0.000, 0.500, 0.000], [0.500, 0.000, 0.000], [0.000, 0.000, 0.500], [0.000, 0.000, 0.000], [0.217, 0.217, 0.500], [0.217, 0.783, 0.500], [0.783, 0.217, 0.500], [0.783, 0.783, 0.500]],
  "crystal_system": "tetragonal",
  "formation_energy_uncorrected_ev_per_atom": -2.159,
  "total_magnetization_mub_per_cell": 0.1
}

2.
{
  "formula": "CsPd3F",
  "functional": "GGA-PBE",
  "state": "relaxed",
  "lattice_angstrom": [[4.733, 0.000, 0.000], [0.000, 4.733, 0.000], [0.000, 0.000, 4.733]],
  "species": ["Cs", "Pd", "Pd", "Pd", "F"],
  "fractional_positions": [[0.000, 0.000, 0.000], [0.000, 0.500, 0.500], [0.500, 0.000, 0.500], [0.500, 0.500, 0.000], [0.500, 0.500, 0.500]],
  "crystal_system": "cubic",
  "e_above_lowest_polymorph_ev_per_fu": 0.00,
  "formation_energy_uncorrected_ev_per_atom": 0.238,
  "total_magnetization_mub_per_cell": 0.0
}

3.
{
  "formula": "Cs3PdF4",
  "functional": "GGA-PBE",
  "state": "relaxed",
  "lattice_angstrom": [[-3.573, 3.573, 3.881], [3.573, -3.573, 3.881], [3.573, 3.573, -3.881]],
  "species": ["Cs", "Cs", "Cs", "Pd", "F", "F", "F", "F"],
  "fractional_positions": [[0.000, 0.000, 0.000], [0.250, 0.750, 0.500], [0.750, 0.250, 0.500], [0.500, 0.500, 0.000], [0.280, 0.280, 0.560], [0.280, 0.720, 0.000], [0.720, 0.280, 0.000], [0.720, 0.720, 0.440]],
  "crystal_system": "tetragonal",
  "formation_energy_uncorrected_ev_per_atom": -2.110,
  "total_magnetization_mub_per_cell": 1.0
}

4.
{
  "formula": "CsPd2F5",
  "functional": "GGA-PBE",
  "state": "relaxed",
  "lattice_angstrom": [[-3.348, 3.964, 5.500], [3.348, -3.964, 5.500], [3.348, 3.964, -5.500]],
  "species": ["Cs", "Cs", "Pd", "Pd", "Pd", "Pd", "F", "F", "F", "F", "F", "F", "F", "F", "F", "F"],
  "fractional_positions": [[0.361, 0.111, 0.250], [0.639, 0.889, 0.750], [0.000, 0.000, 0.500], [0.000, 0.500, 0.000], [0.000, 0.500, 0.500], [0.500, 0.500, 0.000], [0.049, 0.372, 0.180], [0.049, 0.869, 0.677], [0.308, 0.131, 0.680], [0.308, 0.628, 0.177], [0.337, 0.587, 0.750], [0.663, 0.413, 0.250], [0.692, 0.372, 0.823], [0.692, 0.869, 0.320], [0.951, 0.131, 0.323], [0.951, 0.628, 0.820]],
  "crystal_system": "orthorhombic",
  "formation_energy_uncorrected_ev_per_atom": -1.631,
  "total_magnetization_mub_per_cell": 4.0
}

5.
{
  "formula": "Cs2PdF",
  "functional": "GGA-PBE",
  "state": "relaxed",
  "lattice_angstrom": [[-4.004, 4.004, 4.997], [4.004, -4.004, 4.997], [4.004, 4.004, -4.997]],
  "species": ["Cs", "Cs", "Cs", "Cs", "Pd", "Pd", "F", "F"],
  "fractional_positions": [[0.071, 0.625, 0.946], [0.375, 0.321, 0.446], [0.679, 0.125, 0.054], [0.875, 0.929, 0.554], [0.250, 0.750, 0.500], [0.500, 0.500, 0.000], [0.000, 0.000, 0.000], [0.750, 0.250, 0.500]],
  "crystal_system": "tetragonal",
  "e_above_lowest_polymorph_ev_per_fu": 0.00,
  "formation_energy_uncorrected_ev_per_atom": -0.967,
  "total_magnetization_mub_per_cell": 0.0
}

6.
{
  "formula": "Cs2PdF",
  "functional": "GGA-PBE",
  "state": "relaxed",
  "lattice_angstrom": [[2.050, 1.183, 9.639], [-2.050, 1.183, 9.639], [0.000, -2.367, 9.639]],
  "species": ["Cs", "Cs", "Pd", "F"],
  "fractional_positions": [[0.104, 0.104, 0.104], [0.896, 0.896, 0.896], [0.000, 0.000, 0.000], [0.500, 0.500, 0.500]],
  "crystal_system": "trigonal",
  "e_above_lowest_polymorph_ev_per_fu": 0.20,
  "formation_energy_uncorrected_ev_per_atom": -0.917,
  "total_magnetization_mub_per_cell": 0.0
}

Electronic total energy per entry: -4.19 -3.42 -4.01 -4.21 -3.16 -3.11 eV per atom